Zr2ScHg at its PBEsol-relaxed geometry, computed with meta-GGA SCAN.

a = 3.223 Å, b = 4.127 Å, c = 6.413 Å
α = 90.00°, β = 90.00°, γ = 90.00°
Positions (direct):
1 Sc 0.000 0.500 0.742
2 Zr 0.000 0.500 0.244
3 Zr 0.500 0.000 0.007
4 Hg 0.500 0.000 0.507

Properties
The total DFT energy (no corrections) comes out at -1.3294 hartree per atom. The value obtained for the size of the total moment is 0.00 μB per formula unit. The formation energy is -0.224 eV per atom. Its calculated volume is 85.3 Å³ per cell.

***

Zr2ScHg at its PBEsol-relaxed geometry, computed with meta-GGA SCAN.

a = 3.184 Å, b = 3.184 Å, c = 8.477 Å
α = 90.00°, β = 90.00°, γ = 90.00°
Positions (direct):
1 Zr 0.000 0.000 0.997
2 Zr 0.500 0.500 0.257
3 Sc 0.500 0.500 0.740
4 Hg 0.000 0.000 0.506

Properties
The total DFT energy (no corrections) comes out at -1.3307 hartree per atom. The value obtained for the size of the total moment is 0.00 μB per formula unit. The formation energy is -0.261 eV per atom. Its calculated volume is 85.9 Å³ per cell.

***

Repeat the first record exactly.
Zr2ScHg at its PBEsol-relaxed geometry, computed with meta-GGA SCAN.

a = 3.223 Å, b = 4.127 Å, c = 6.413 Å
α = 90.00°, β = 90.00°, γ = 90.00°
Positions (direct):
1 Sc 0.000 0.500 0.742
2 Zr 0.000 0.500 0.244
3 Zr 0.500 0.000 0.007
4 Hg 0.500 0.000 0.507

Properties
The total DFT energy (no corrections) comes out at -1.3294 hartree per atom. The value obtained for the size of the total moment is 0.00 μB per formula unit. The formation energy is -0.224 eV per atom. Its calculated volume is 85.3 Å³ per cell.

***

> Which of these has the lowest calculated volume?

number 1

***

> Which value of calculated volume does entry 1 give?

85.3 Å³ per cell

***

> Look up the calculated volume of the second one.

85.9 Å³ per cell